Density functional theory data (PBE-GGA) for a relaxed BaErOs crystal.

Cell: 4.977 4.977 4.977 Å, 60.00 60.00 60.00°
Element x y z (fractional)
Os  0.000  0.000  0.000
Er  0.750  0.750  0.750
Ba  0.250  0.250  0.250

energy relative to the lowest polymorph listed for this composition	0	meV/atom